# HfPd4

An optimized crystal structure of HfPd4 (PBE, Alexandria).

The calculation puts the uncorrected energy at -6.80 eV/atom. The value obtained for the volume is 326 Å³/cell.

The space group is Imma (No. 74) and the conventional cell measures 4.1628, 5.6090 and 13.9488 Å, with angles of 90.00, 90.00 and 90.00 degrees. The inequivalent atoms are Hf at (0.0000, 0.2500, 0.1071), Pd at (0.0000, 0.0000, 0.5000), Pd at (0.0000, 0.0019, 0.6927) and Pd at (0.0000, 0.2500, 0.9007).